No. 1
Ce6Os3Ru: relaxed, GGA-PBE.

It has space group P2_1/m (No. 11), with a = 11.360 Å, b = 4.021 Å, c = 11.689 Å, α = 90.00°, β = 109.98° and γ = 90.00°. The inequivalent atoms are Ce at (0.040, 0.250, 0.396), Ce at (0.106, 0.250, 0.944), Ce at (0.241, 0.750, 0.275), Ce at (0.280, 0.750, 0.760), Ce at (0.396, 0.250, 0.557), Ce at (0.424, 0.750, 0.106), Os at (0.062, 0.250, 0.171), Os at (0.199, 0.750, 0.511), Os at (0.342, 0.250, 0.926) and Ru at (0.455, 0.250, 0.315).

The calculation puts the calculated volume at 250.9 Å³/f.u. As for the energy relative to the elements: -13.4 kJ per mole of atoms. For the calculated total energy, the calculation gives -8.00 eV/atom.

---

No. 2
TiInSb2Te: relaxed, GGA-PBE.

It has space group P4/mmm (No. 123), with a = 5.517 Å, b = 5.517 Å, c = 5.660 Å, α = 90.00°, β = 90.00° and γ = 90.00°. The inequivalent atoms are Ti at (0.000, 0.000, 0.000), In at (0.500, 0.500, 0.500), Sb at (0.000, 0.500, 0.500) and Te at (0.500, 0.500, 0.000).

The calculation puts the calculated volume at 172.3 Å³/f.u. For the polymorph energy (0 for the lowest one), the calculation gives 934.1 meV per atom. The formation energy (no corrections) is 0.9496 eV per atom. For the calculated total energy, the calculation gives -3.45 eV/atom.

---

No. 3
Sc2TiAl: relaxed, GGA-PBE.

It has space group I-42d (No. 122), with a = 7.648 Å, b = 7.648 Å, c = 5.746 Å, α = 90.00°, β = 90.00° and γ = 90.00°. The inequivalent atoms are Sc at (0.241, 0.750, 0.125), Ti at (0.000, 0.000, 0.500) and Al at (0.000, 0.000, 0.000).

The calculation puts the calculated volume at 84.0 Å³/f.u. As for the energy relative to the elements: 24.7 kJ per mole of atoms. For the calculated total energy, the calculation gives -5.82 eV/atom.

---

No. 4
MnIn2Fe: relaxed, GGA-PBE.

It has space group I4/mmm (No. 139), with a = 4.172 Å, b = 4.172 Å, c = 7.866 Å, α = 90.00°, β = 90.00° and γ = 90.00°. The inequivalent atoms are Mn at (0.000, 0.000, 0.000), In at (0.000, 0.500, 0.250) and Fe at (0.000, 0.000, 0.500).

The calculation puts the calculated volume at 68.5 Å³/f.u. As for the energy relative to the elements: 24.5 kJ per mole of atoms. For the calculated total energy, the calculation gives -5.52 eV/atom.

---

No. 5
TlFe3P: relaxed, GGA-PBE.

It has space group Pm-3m (No. 221), with a = 4.257 Å, b = 4.257 Å, c = 4.257 Å, α = 90.00°, β = 90.00° and γ = 90.00°. The inequivalent atoms are Tl at (0.000, 0.000, 0.000), Fe at (0.000, 0.500, 0.500) and P at (0.500, 0.500, 0.500).

The calculation puts the calculated volume at 77.1 Å³/f.u. For the polymorph energy (0 for the lowest one), the calculation gives 0.0 meV per atom. As for the energy relative to the elements: 24.9 kJ per mole of atoms. For the calculated total energy, the calculation gives -6.37 eV/atom.

---

No. 6
Cs2ZrCo: relaxed, GGA-PBE.

It has space group Fm-3m (No. 225), with a = 8.746 Å, b = 8.746 Å, c = 8.746 Å, α = 90.00°, β = 90.00° and γ = 90.00°. The inequivalent atoms are Cs at (0.250, 0.250, 0.250), Zr at (0.000, 0.000, 0.000) and Co at (0.000, 0.000, 0.500).

The calculation puts the calculated volume at 167.3 Å³/f.u. For the polymorph energy (0 for the lowest one), the calculation gives 840.4 meV per atom. As for the energy relative to the elements: 178.3 kJ per mole of atoms. For the calculated total energy, the calculation gives -2.49 eV/atom.

---

No. 7
Os2RhSe: relaxed, GGA-PBE.

It has space group Imm2 (No. 44), with a = 2.925 Å, b = 4.487 Å, c = 9.054 Å, α = 90.00°, β = 90.00° and γ = 90.00°. The inequivalent atoms are Os at (0.000, 0.000, 0.000), Os at (0.000, 0.500, 0.242), Rh at (0.000, 0.500, 0.783) and Se at (0.000, 0.000, 0.515).

The calculation puts the calculated volume at 59.4 Å³/f.u. The formation energy (no corrections) is 0.5966 eV per atom. For the calculated total energy, the calculation gives -7.73 eV/atom.

---

No. 8
Pa2CuPt5: relaxed, GGA-PBE.

It has space group I4mm (No. 107), with a = 6.315 Å, b = 6.315 Å, c = 7.371 Å, α = 90.00°, β = 90.00° and γ = 90.00°. The inequivalent atoms are Pa at (0.000, 0.500, 0.000), Cu at (0.000, 0.000, 0.082), Pt at (0.000, 0.000, 0.455) and Pt at (0.220, 0.220, 0.753).

The calculation puts the calculated volume at 147.0 Å³/f.u. As for the energy relative to the elements: -69.7 kJ per mole of atoms. For the calculated total energy, the calculation gives -7.38 eV/atom.

---

No. 9
LiPm2Cd8: relaxed, GGA-PBE.

It has space group C2/m (No. 12), with a = 15.836 Å, b = 4.965 Å, c = 6.859 Å, α = 90.00°, β = 106.26° and γ = 90.00°. The inequivalent atoms are Li at (0.000, 0.000, 0.000), Pm at (0.215, 0.500, 0.664), Cd at (0.016, 0.500, 0.729), Cd at (0.091, 0.000, 0.421), Cd at (0.150, 0.000, 0.875) and Cd at (0.150, 0.500, 0.138).

The calculation puts the calculated volume at 258.9 Å³/f.u. As for the energy relative to the elements: -22.1 kJ per mole of atoms. For the calculated total energy, the calculation gives -1.93 eV/atom.

---

No. 10
HfAsO2F: relaxed, GGA-PBE.

It has space group P4/mmm (No. 123), with a = 4.091 Å, b = 4.091 Å, c = 4.132 Å, α = 90.00°, β = 90.00° and γ = 90.00°. The inequivalent atoms are Hf at (0.000, 0.000, 0.000), As at (0.500, 0.500, 0.500), O at (0.000, 0.500, 0.500) and F at (0.500, 0.500, 0.000).

The calculation puts the calculated volume at 69.1 Å³/f.u. The formation energy (no corrections) is -0.6090 eV per atom. For the calculated total energy, the calculation gives -5.89 eV/atom.

---

No. 11
BeSiAg: relaxed, GGA-PBE.

It has space group Fmm2 (No. 42), with a = 3.779 Å, b = 3.787 Å, c = 11.860 Å, α = 90.00°, β = 90.00° and γ = 90.00°. The inequivalent atoms are Be at (0.000, 0.000, 0.000), Si at (0.000, 0.000, 0.363) and Ag at (0.000, 0.000, 0.650).

The calculation puts the calculated volume at 42.4 Å³/f.u. For the polymorph energy (0 for the lowest one), the calculation gives 51.5 meV per atom. The formation energy (no corrections) is 0.3291 eV per atom. For the calculated total energy, the calculation gives -3.67 eV/atom.

---

No. 12
PmPr7Ho4: relaxed, GGA-PBE.

It has space group P-1 (No. 2), with a = 6.373 Å, b = 7.350 Å, c = 9.058 Å, α = 89.97°, β = 76.48° and γ = 89.96°. The inequivalent atoms are Pm at (0.000, 0.000, 0.000), Pr at (0.000, 0.500, 0.000), Pr at (0.222, 0.000, 0.335), Pr at (0.281, 0.252, 0.664), Pr at (0.500, 0.254, 0.003), Ho at (0.219, 0.500, 0.336) and Ho at (0.277, 0.745, 0.666).

The calculation puts the calculated volume at 412.5 Å³/f.u. For the polymorph energy (0 for the lowest one), the calculation gives 0.0 meV per atom. As for the energy relative to the elements: 0.5 kJ per mole of atoms. For the calculated total energy, the calculation gives -4.70 eV/atom.

---

No. 13
CaLaH: relaxed, GGA-PBE.

It has space group P4/mmm (No. 123), with a = 3.719 Å, b = 3.719 Å, c = 5.318 Å, α = 90.00°, β = 90.00° and γ = 90.00°. The inequivalent atoms are Ca at (0.000, 0.000, 0.000), La at (0.500, 0.500, 0.500) and H at (0.000, 0.000, 0.500).

The calculation puts the calculated volume at 73.6 Å³/f.u. For the polymorph energy (0 for the lowest one), the calculation gives 2.7 meV per atom. For the calculated total energy, the calculation gives -3.66 eV/atom.